Computed, not measured: crystalline ThIr at its relaxed geometry at the PBE-GGA level of DFT.

a b c (Å): 3.9798 3.9798 7.3402
angles (deg): 90.00 90.00 120.00
Last column: nearest neighbours and their distance in Å.
Element x y z (fractional)
Th (0.0000, 0.0000, 0.0000)  6 Ir 2.94
Th (0.0000, 0.0000, 0.5000)  6 Ir 2.94
Ir (0.3333, 0.6667, 0.2500)  6 Th 2.94
Ir (0.6667, 0.3333, 0.7500)  6 Th 2.94

- Energy relative to the elements: -154.6 kJ/mol of formula units
- SG: P6_3/mmc
- DFT total energy: -35.74 eV/cell